# KMg2Cl PBE-GGA relaxed
data_KMg2Cl
_cell_length_a 3.8633
_cell_length_b 3.8633
_cell_length_c 27.9002
_cell_angle_alpha 90.00
_cell_angle_beta 90.00
_cell_angle_gamma 120.00
_space_group_name_H-M_alt 'R 3 m'
_space_group_IT_number 160
_space_group_name_Hall 'R 3 -2"'
loop_
_atom_site_label
_atom_site_fract_x
_atom_site_fract_y
_atom_site_fract_z
_atom_site_occupancy
K1 0.0000 0.0000 0.0000 1
Mg1 0.0000 0.0000 0.5211 1
Mg2 0.0000 0.0000 0.7794 1
Cl1 0.0000 0.0000 0.2560 1
# E above lowest polymorph, meV/atom: 89
# ΔE_f (raw), eV per atom: -0.533
# Volume, Å³ per atom: 30.1
# Crystal system: trigonal
# Electronic total energy, eV per atom: -2.066

# Ca6CdAu2 PBE-GGA relaxed
data_Ca6CdAu2
_cell_length_a 9.724
_cell_length_b 10.167
_cell_length_c 11.368
_cell_angle_alpha 90.00
_cell_angle_beta 90.00
_cell_angle_gamma 90.00
_space_group_name_H-M_alt 'I m m m'
_space_group_IT_number 71
_space_group_name_Hall '-I 2 2'
loop_
_atom_site_label
_atom_site_fract_x
_atom_site_fract_y
_atom_site_fract_z
_atom_site_occupancy
Ca1 0.000 0.195 0.244 1
Ca2 0.189 0.500 0.159 1
Ca3 0.209 0.320 0.500 1
Cd1 0.000 0.000 0.000 1
Cd2 0.000 0.000 0.500 1
Au1 0.000 0.317 0.000 1
Au2 0.000 0.500 0.366 1
# Volume, Å³ per atom: 31.2
# Crystal system: orthorhombic
# Electronic total energy, eV per atom: -2.650
# Energy of formation, eV per atom: -0.4858

# Mg4Ag7Ge PBE-GGA relaxed
data_Mg4Ag7Ge
_cell_length_a 10.319
_cell_length_b 4.991
_cell_length_c 10.467
_cell_angle_alpha 90.00
_cell_angle_beta 117.11
_cell_angle_gamma 90.00
_space_group_name_H-M_alt 'C 1 2/m 1'
_space_group_IT_number 12
_space_group_name_Hall '-C 2y'
loop_
_atom_site_label
_atom_site_fract_x
_atom_site_fract_y
_atom_site_fract_z
_atom_site_occupancy
Mg1 0.107 0.000 0.272 1
Mg2 0.242 0.500 0.172 1
Ag1 0.000 0.000 0.500 1
Ag2 0.056 0.500 0.843 1
Ag3 0.139 0.000 0.013 1
Ag4 0.205 0.500 0.420 1
Ge1 0.000 0.500 0.500 1
# Volume, Å³ per atom: 20.0
# Crystal system: monoclinic
# Electronic total energy, eV per atom: -2.587
# Energy of formation, eV per atom: -0.0070

# ThMgTlAg PBE-GGA relaxed
data_ThMgTlAg
_cell_length_a 7.368
_cell_length_b 7.368
_cell_length_c 7.368
_cell_angle_alpha 90.00
_cell_angle_beta 90.00
_cell_angle_gamma 90.00
_space_group_name_H-M_alt 'F -4 3 m'
_space_group_IT_number 216
_space_group_name_Hall 'F -4 2 3'
loop_
_atom_site_label
_atom_site_fract_x
_atom_site_fract_y
_atom_site_fract_z
_atom_site_occupancy
Th1 0.000 0.000 0.000 1
Mg1 0.000 0.000 0.500 1
Tl1 0.250 0.250 0.750 1
Ag1 0.250 0.250 0.250 1
# Volume, Å³ per atom: 25.0
# Crystal system: cubic
# Electronic total energy, eV per atom: -3.687
# Energy of formation, eV per atom: -0.1290

# LaPmNpO6 PBE-GGA relaxed
data_LaPmNpO6
_cell_length_a 5.9258
_cell_length_b 5.9258
_cell_length_c 9.7581
_cell_angle_alpha 90.00
_cell_angle_beta 90.00
_cell_angle_gamma 120.00
_space_group_name_H-M_alt 'P -3 1 c'
_space_group_IT_number 163
_space_group_name_Hall '-P 3 2c'
loop_
_atom_site_label
_atom_site_fract_x
_atom_site_fract_y
_atom_site_fract_z
_atom_site_occupancy
La1 0.0000 0.0000 0.0000 1
Pm1 0.3333 0.6667 0.2500 1
Np1 0.3333 0.6667 0.7500 1
O1 0.0348 0.3698 0.6364 1
# ΔE_f (raw), eV per atom: -3.178
# Volume, Å³ per atom: 16.5
# Crystal system: trigonal
# Electronic total energy, eV per atom: -8.997

# InNi2H2 PBE-GGA relaxed
data_InNi2H2
_cell_length_a 3.236
_cell_length_b 3.236
_cell_length_c 9.001
_cell_angle_alpha 90.00
_cell_angle_beta 90.00
_cell_angle_gamma 90.00
_space_group_name_H-M_alt 'I 4/m m m'
_space_group_IT_number 139
_space_group_name_Hall '-I 4 2'
loop_
_atom_site_label
_atom_site_fract_x
_atom_site_fract_y
_atom_site_fract_z
_atom_site_occupancy
In1 0.000 0.000 0.000 1
Ni1 0.000 0.000 0.331 1
H1 0.000 0.500 0.250 1
# E above lowest polymorph, meV/atom: 13
# Volume, Å³ per atom: 9.4
# Crystal system: tetragonal
# Electronic total energy, eV per atom: -4.251

> Look up the volume of the fifth one.

16.5 Å³ per atom